No. 1
VASP calculation (PBE) on an optimized crystal structure of ScFeS2Cl.

```
ScFeS2Cl
1.0
4.959 0.000 0.000
0.000 4.959 0.000
0.000 0.000 4.801
Sc Fe S Cl
1 1 2 1
direct
0.000 0.000 0.000
0.500 0.500 0.500
0.000 0.500 0.000
0.500 0.000 0.000
0.000 0.000 0.500
```

energy above the lowest structure with this stoichiometry: 0.63 eV/f.u.
ρ: 2.8 g/cm³
SG: P4/mmm
uncorrected formation energy: -333 meV/atom

***

No. 2
VASP calculation (PBE) on an optimized crystal structure of Pr2Dy8Tm3.

```
Pr2Dy8Tm3
1.0
7.600 0.000 0.000
0.000 5.508 0.000
-3.793 0.000 10.413
Pr Dy Tm
2 8 3
direct
0.240 0.000 0.480
0.760 0.000 0.520
0.127 0.500 0.253
0.183 0.000 0.790
0.340 0.500 0.680
0.392 0.000 0.210
0.608 0.000 0.790
0.660 0.500 0.320
0.817 0.000 0.210
0.873 0.500 0.747
0.000 0.000 0.000
0.286 0.500 0.000
0.714 0.500 0.000
```

E_form: 0.234 eV per atom
ρ: 8.0 g/cm³
SG: P2/m

***

No. 3
VASP calculation (PBE) on an optimized crystal structure of K2Au.

```
K2Au
1.0
5.732 0.000 0.000
0.000 5.732 0.000
0.000 0.000 3.917
K Au
2 1
direct
0.000 0.500 0.000
0.500 0.000 0.000
0.000 0.000 0.500
```

E_form: -0.195 eV per atom
ρ: 3.5 g/cm³
SG: P4/mmm

***

No. 4
VASP calculation (PBE) on an optimized crystal structure of YSiPt2.

```
YSiPt2
1.0
4.173 0.000 0.000
0.000 4.173 0.000
0.000 0.000 8.161
Y Si Pt
2 2 4
direct
0.000 0.000 0.000
0.500 0.500 0.500
0.000 0.000 0.500
0.500 0.500 0.000
0.000 0.500 0.250
0.000 0.500 0.750
0.500 0.000 0.250
0.500 0.000 0.750
```

ρ: 11.8 g/cm³
SG: I4/mmm
uncorrected formation energy: -712 meV/atom

***

No. 5
VASP calculation (PBE) on an optimized crystal structure of AlGe2Se6.

```
AlGe2Se6
1.0
6.326 -6.876 0.000
6.326 6.876 0.000
-2.555 0.000 5.932
Al Ge Se
2 4 12
direct
0.203 0.797 0.750
0.797 0.203 0.250
0.204 0.360 0.634
0.360 0.204 0.134
0.640 0.796 0.866
0.796 0.640 0.366
0.014 0.820 0.421
0.151 0.581 0.869
0.180 0.986 0.079
0.267 0.418 0.327
0.418 0.267 0.827
0.419 0.849 0.631
0.581 0.151 0.369
0.582 0.733 0.173
0.733 0.582 0.673
0.820 0.014 0.921
0.849 0.419 0.131
0.986 0.180 0.579
```

ρ: 4.2 g/cm³
SG: C2/c
uncorrected formation energy: -307 meV/atom

***

No. 6
VASP calculation (PBE) on an optimized crystal structure of GaNiIrC.

```
GaNiIrC
1.0
2.812 0.000 0.000
-0.037 3.354 0.000
-0.007 -1.625 4.963
Ga Ni Ir C
1 1 1 1
direct
0.000 0.000 0.000
0.491 0.347 0.691
0.503 0.637 0.283
0.006 0.759 0.587
```

E_form: 0.246 eV per atom
energy above the lowest structure with this stoichiometry: 0.49 eV/f.u.
ρ: 11.8 g/cm³
SG: P1

***

No. 7
VASP calculation (PBE) on an optimized crystal structure of MgTlCdHg.

```
MgTlCdHg
1.0
7.307 0.000 0.000
0.000 7.307 0.000
0.000 0.000 7.307
Mg Tl Cd Hg
4 4 4 4
direct
0.000 0.000 0.000
0.000 0.500 0.500
0.500 0.000 0.500
0.500 0.500 0.000
0.250 0.250 0.750
0.250 0.750 0.250
0.750 0.250 0.250
0.750 0.750 0.750
0.000 0.000 0.500
0.000 0.500 0.000
0.500 0.000 0.000
0.500 0.500 0.500
0.250 0.250 0.250
0.250 0.750 0.750
0.750 0.250 0.750
0.750 0.750 0.250
```

E_form: -0.021 eV per atom
energy above the lowest structure with this stoichiometry: 0.14 eV/f.u.
ρ: 9.2 g/cm³
SG: F-43m

***

No. 8
VASP calculation (PBE) on an optimized crystal structure of TmThSi2Pt5.

```
TmThSi2Pt5
1.0
4.276 0.000 0.000
0.000 4.276 0.000
0.000 0.000 8.913
Tm Th Si Pt
1 1 2 5
direct
0.000 0.000 0.000
0.000 0.000 0.500
0.500 0.500 0.130
0.500 0.500 0.870
0.000 0.500 0.259
0.000 0.500 0.741
0.500 0.000 0.259
0.500 0.000 0.741
0.500 0.500 0.500
```

ρ: 14.6 g/cm³
SG: P4/mmm
uncorrected formation energy: -1073 meV/atom